[1]
This record from Alexandria via LeMat-Bulk describes a relaxed structure of La2GeRu. The functional is PBE.

Output
The calculation puts the calculated formation energy at -11.148 kcal/mol of atoms. The calculation puts the density of states at the Fermi level at 1.686 states/eV/cell.

Unit cell a=6.2211 b=6.2211 c=6.2211 alpha=42.62 beta=42.62 gamma=42.62
Atoms (fractional coordinates):
La 0.0000 0.0000 0.0000
La 0.1967 0.1967 0.1967
Ge 0.7710 0.7710 0.7710
Ru 0.4197 0.4197 0.4197

[2]
This record from Alexandria via LeMat-Bulk describes a relaxed structure of La2GeRu. The functional is PBE.

Output
The calculation puts the calculated formation energy at -12.654 kcal/mol of atoms. The calculation puts the density of states at the Fermi level at 6.791 states/eV/cell.

Unit cell a=6.2018 b=3.9302 c=8.9232 alpha=90.00 beta=109.50 gamma=90.00
Atoms (fractional coordinates):
La 0.1953 0.2500 0.4128
La 0.2806 0.7500 0.0526
La 0.7194 0.2500 0.9474
La 0.8047 0.7500 0.5872
Ge 0.3429 0.7500 0.7161
Ge 0.6571 0.2500 0.2839
Ru 0.1120 0.2500 0.7846
Ru 0.8880 0.7500 0.2154

[3]
This record from Alexandria via LeMat-Bulk describes a relaxed structure of La2Ge4Ru3. The functional is PBE.

Output
The calculation puts the calculated formation energy at -11.376 kcal/mol of atoms. The calculation puts the density of states at the Fermi level at 8.192 states/eV/cell.

Unit cell a=8.0422 b=6.9058 c=5.7524 alpha=78.31 beta=57.23 gamma=44.46
Atoms (fractional coordinates):
La 0.1310 0.1310 0.8690
La 0.8690 0.8690 0.1310
Ge 0.1726 0.5235 0.4765
Ge 0.4765 0.8274 0.1726
Ge 0.5235 0.1726 0.8274
Ge 0.8274 0.4765 0.5235
Ru 0.0000 0.0000 0.5000
Ru 0.5000 0.5000 0.0000
Ru 0.5000 0.5000 0.5000